## YTa2Rh (PBE-GGA)

Data for a geometry-optimized YTa2Rh structure.

Cell: 4.8823 4.8823 3.1323 Å, 90.00 90.00 90.00°
With the nearest neighbours (Å) after each atom.
Element x y z (fractional)
Y (0.0000, 0.0000, 0.0000)  8 Ta 2.90, 2 Y 3.13
Ta (0.0000, 0.5000, 0.5000)  4 Rh 2.90, 4 Y 2.90, 2 Ta 3.13
Ta (0.5000, 0.0000, 0.5000)  4 Rh 2.90, 4 Y 2.90, 2 Ta 3.13
Rh (0.5000, 0.5000, 0.0000)  8 Ta 2.90, 2 Rh 3.13

Energy of formation from the pure elements = 0.2810 eV per atom
SG = No. 123
Density of states at the Fermi level = 4.2 states/eV per cell
Crystal system = tetragonal